Record 1
{"formula": "LiMgI2O", "functional": "SCAN", "state": "PBEsol geometry", "formation_energy_uncorrected_mev_per_atom": -495, "spacegroup": "P4/mmm, No. 123", "cell": [[5.3801, 0.0000, 0.0000], [0.0000, 5.3801, 0.0000], [0.0000, 0.0000, 3.7601]], "species": ["Li", "Mg", "I", "I", "O"], "frac_coords": [[0.0000, 0.0000, 0.0000], [0.5000, 0.5000, 0.5000], [0.0000, 0.5000, 0.0000], [0.5000, 0.0000, 0.0000], [0.0000, 0.0000, 0.5000]]}

=====

Record 2
{"formula": "KSi3As3", "functional": "SCAN", "state": "PBEsol geometry", "formation_energy_uncorrected_mev_per_atom": -315, "spacegroup": "Pbam, No. 55", "cell": [[10.0438, 0.0000, 0.0000], [0.0000, 19.0225, 0.0000], [0.0000, 0.0000, 3.6654]], "species": ["K", "K", "K", "K", "Si", "Si", "Si", "Si", "Si", "Si", "Si", "Si", "Si", "Si", "Si", "Si", "As", "As", "As", "As", "As", "As", "As", "As", "As", "As", "As", "As"], "frac_coords": [[0.1875, 0.1961, 0.0000], [0.3125, 0.6961, 0.0000], [0.6875, 0.3039, 0.0000], [0.8125, 0.8039, 0.0000], [0.0934, 0.4638, 0.5000], [0.1122, 0.9847, 0.0000], [0.1756, 0.8664, 0.0000], [0.3244, 0.3664, 0.0000], [0.3878, 0.4847, 0.0000], [0.4066, 0.9638, 0.5000], [0.5934, 0.0362, 0.5000], [0.6122, 0.5153, 0.0000], [0.6756, 0.6336, 0.0000], [0.8244, 0.1336, 0.0000], [0.8878, 0.0153, 0.0000], [0.9066, 0.5362, 0.5000], [0.0852, 0.3838, 0.0000], [0.1021, 0.8001, 0.5000], [0.2182, 0.0423, 0.5000], [0.2818, 0.5423, 0.5000], [0.3979, 0.3001, 0.5000], [0.4148, 0.8838, 0.0000], [0.5852, 0.1162, 0.0000], [0.6021, 0.6999, 0.5000], [0.7182, 0.4577, 0.5000], [0.7818, 0.9577, 0.5000], [0.8979, 0.1999, 0.5000], [0.9148, 0.6162, 0.0000]]}

=====

Record 3
{"formula": "InBrCl", "functional": "SCAN", "state": "PBEsol geometry", "formation_energy_uncorrected_mev_per_atom": -197, "spacegroup": "F-43m, No. 216", "cell": [[0.0000, 3.5025, 3.5025], [3.5025, 0.0000, 3.5025], [3.5025, 3.5025, 0.0000]], "species": ["In", "Br", "Cl"], "frac_coords": [[0.0000, 0.0000, 0.0000], [0.5000, 0.5000, 0.5000], [0.2500, 0.2500, 0.2500]]}

=====

Record 4
{"formula": "Sr3CaSc", "functional": "SCAN", "state": "PBEsol geometry", "delta_e_f_ev_per_atom": 0.975, "spacegroup": "Pm-3m, No. 221", "cell": [[6.3152, 0.0000, 0.0000], [0.0000, 6.3152, 0.0000], [0.0000, 0.0000, 6.3152]], "species": ["Sr", "Sr", "Sr", "Ca", "Sc"], "frac_coords": [[0.0000, 0.0000, 0.5000], [0.0000, 0.5000, 0.0000], [0.5000, 0.0000, 0.0000], [0.0000, 0.0000, 0.0000], [0.5000, 0.5000, 0.5000]]}

=====

Record 5
{"formula": "Er2Al3Si2", "functional": "SCAN", "state": "PBEsol geometry", "formation_energy_uncorrected_mev_per_atom": -562, "spacegroup": "C2/m, No. 12", "cell": [[4.9928, -1.9978, 0.0000], [4.9928, 1.9978, 0.0000], [-1.1929, 0.0000, 6.3925]], "species": ["Er", "Er", "Al", "Al", "Al", "Si", "Si"], "frac_coords": [[0.1188, 0.1188, 0.3230], [0.8812, 0.8812, 0.6770], [0.1952, 0.1952, 0.8667], [0.5000, 0.5000, 0.0000], [0.8048, 0.8048, 0.1333], [0.4059, 0.4059, 0.3609], [0.5941, 0.5941, 0.6391]]}

=====

Record 6
{"formula": "KRb2Na2", "functional": "SCAN", "state": "PBEsol geometry", "delta_e_f_ev_per_atom": 0.053, "spacegroup": "I4/mmm, No. 139", "cell": [[-2.4008, 2.4008, 14.0039], [2.4008, -2.4008, 14.0039], [2.4008, 2.4008, -14.0039]], "species": ["K", "Rb", "Rb", "Na", "Na"], "frac_coords": [[0.0000, 0.0000, 0.0000], [0.3775, 0.3775, 0.0000], [0.6225, 0.6225, 0.0000], [0.2500, 0.7500, 0.5000], [0.7500, 0.2500, 0.5000]]}